Entry 1:
# SrSc6S8 PBE relaxed
# ΔE_f (raw): -1.77 eV per atom
# E_tot: -99.275 eV per formula unit
data_SrSc6S8
_cell_length_a 7.130
_cell_length_b 7.130
_cell_length_c 7.130
_cell_angle_alpha 92.30
_cell_angle_beta 92.30
_cell_angle_gamma 92.30
_symmetry_space_group_name_H-M 'P 1'
_symmetry_Int_Tables_number 1
loop_
_symmetry_equiv_pos_as_xyz
'x,y,z'
loop_
_atom_site_label
_atom_site_type_symbol
_atom_site_fract_x
_atom_site_fract_y
_atom_site_fract_z
Sr1 Sr 0.000 0.000 0.000
Sc1 Sc 0.193 0.567 0.396
Sc2 Sc 0.396 0.193 0.567
Sc3 Sc 0.433 0.604 0.807
Sc4 Sc 0.567 0.396 0.193
Sc5 Sc 0.604 0.807 0.433
Sc6 Sc 0.807 0.433 0.604
S1 S 0.140 0.386 0.713
S2 S 0.246 0.246 0.246
S3 S 0.287 0.860 0.614
S4 S 0.386 0.713 0.140
S5 S 0.614 0.287 0.860
S6 S 0.713 0.140 0.386
S7 S 0.754 0.754 0.754
S8 S 0.860 0.614 0.287

---

Entry 2:
# SrSc2S4 PBE relaxed
# ΔE_f (raw): -1.99 eV per atom
# E_tot: -44.756 eV per formula unit
data_SrSc2S4
_cell_length_a 6.498
_cell_length_b 6.498
_cell_length_c 12.932
_cell_angle_alpha 90.00
_cell_angle_beta 90.00
_cell_angle_gamma 145.83
_symmetry_space_group_name_H-M 'P 1'
_symmetry_Int_Tables_number 1
loop_
_symmetry_equiv_pos_as_xyz
'x,y,z'
loop_
_atom_site_label
_atom_site_type_symbol
_atom_site_fract_x
_atom_site_fract_y
_atom_site_fract_z
Sr1 Sr 0.110 0.890 0.750
Sr2 Sr 0.890 0.110 0.250
Sc1 Sc 0.365 0.635 0.567
Sc2 Sc 0.365 0.635 0.933
Sc3 Sc 0.635 0.365 0.067
Sc4 Sc 0.635 0.365 0.433
S1 S 0.000 0.000 0.000
S2 S 0.000 0.000 0.500
S3 S 0.268 0.732 0.110
S4 S 0.268 0.732 0.390
S5 S 0.434 0.566 0.750
S6 S 0.566 0.434 0.250
S7 S 0.732 0.268 0.610
S8 S 0.732 0.268 0.890

---

- What is the ΔE_f (raw) in the first record?
  -1.77 eV per atom